No. 1
CaPm2TaN4 | Alexandria | PBE | optimized geometry; space-group type = Cmcm; theoretical density = 7.06 g cm⁻³; raw formation energy = -1147 meV/atom; size of the total moment = 0.00 Bohr magnetons per cell
1.0
-1.6000 1.1219 -2.8765
3.9609 -4.5777 -1.8865
-9.0730 -8.5553 1.7101
N Pm Ca Ta
8 4 2 2
Direct
0.0000 0.0000 0.5000
0.5716 0.1433 0.2500
0.7389 0.4778 0.8690
0.7389 0.4778 0.6310
0.0000 0.0000 0.0000
0.2611 0.5222 0.1310
0.2611 0.5222 0.3690
0.4284 0.8567 0.7500
0.3694 0.7388 0.9688
0.3694 0.7388 0.5312
0.6306 0.2612 0.0312
0.6306 0.2612 0.4688
0.8900 0.7801 0.2500
0.1100 0.2199 0.7500
0.1614 0.3227 0.2500
0.8386 0.6773 0.7500

No. 2
Ca4PmTa3N8 | Alexandria | PBE | optimized geometry; space-group type = R-3m; theoretical density = 7.60 g cm⁻³; raw formation energy = -1211 meV/atom; size of the total moment = 0.00 Bohr magnetons per cell
1.0
6.5847 0.0000 0.0000
0.0000 6.7555 0.1139
-3.2923 -3.2876 4.6593
N Ta Ca Pm
8 3 4 1
Direct
0.7105 0.7129 0.9617
0.7488 0.2871 0.0383
0.2512 0.7129 0.9617
0.2620 0.2860 0.5240
0.2895 0.2871 0.0383
0.2512 0.7129 0.5024
0.7380 0.7140 0.4760
0.7488 0.2871 0.4976
0.5000 0.5000 0.0000
0.5000 0.5000 0.5000
0.0000 0.5000 0.5000
0.5000 0.0000 0.0000
0.0000 0.0000 0.5000
0.5000 0.0000 0.5000
0.0000 0.0000 0.0000
0.0000 0.5000 0.0000

No. 3
Ca2PmTaN4 | Alexandria | PBE | optimized geometry; space-group type = Imma; theoretical density = 6.81 g cm⁻³; raw formation energy = -1203 meV/atom; size of the total moment = 0.00 Bohr magnetons per cell
1.0
6.8418 -0.0296 -0.1182
-0.0344 6.8417 -0.1182
-3.4234 -3.4258 4.9348
Ta N Ca Pm
2 8 4 2
Direct
0.5000 0.5000 0.5000
0.0000 0.0000 0.0000
0.2166 0.7791 0.9979
0.7499 0.7501 0.9652
0.7835 0.2208 0.0021
0.7499 0.7501 0.5348
0.2501 0.2499 0.4652
0.7209 0.2834 0.5021
0.2501 0.2499 0.0348
0.2791 0.7165 0.4979
0.0000 0.0000 0.5000
0.5000 0.5000 0.0000
0.5000 0.0000 0.5000
0.5000 0.0000 0.0000
0.0000 0.5000 0.5000
0.0000 0.5000 0.0000

No. 4
CaPmTcN3 | Alexandria | PBE | optimized geometry; space-group type = P2_1/m; theoretical density = 5.03 g cm⁻³; raw formation energy = -702 meV/atom; size of the total moment = 0.00 Bohr magnetons per cell
1.0
3.5019 0.0000 0.0000
0.0000 7.4649 0.3178
0.0000 -1.7108 8.1443
N Tc Pm Ca
6 2 2 2
Direct
0.7500 0.9199 0.1608
0.2500 0.8315 0.4414
0.7500 0.3986 0.1194
0.2500 0.0801 0.8392
0.2500 0.6014 0.8806
0.7500 0.1685 0.5586
0.2500 0.0540 0.6158
0.7500 0.9460 0.3842
0.7500 0.3845 0.8339
0.2500 0.6155 0.1661
0.2500 0.1675 0.1381
0.7500 0.8325 0.8619

No. 5
Ca2PmTcN4 | Alexandria | PBE | optimized geometry; space-group type = Cmcm; theoretical density = 5.14 g cm⁻³; raw formation energy = -704 meV/atom; size of the total moment = 0.00 Bohr magnetons per cell
1.0
3.4218 0.0000 0.0000
-1.7109 5.8930 0.0000
0.0000 0.0000 12.1453
N Tc Pm Ca
8 2 2 4
Direct
0.4203 0.8407 0.7500
0.0000 0.0000 0.5000
0.7293 0.4587 0.6310
0.2707 0.5413 0.1310
0.2707 0.5413 0.3690
0.7293 0.4587 0.8690
0.5797 0.1593 0.2500
0.0000 0.0000 0.0000
0.8204 0.6409 0.7500
0.1796 0.3591 0.2500
0.9235 0.8469 0.2500
0.0765 0.1531 0.7500
0.3738 0.7477 0.9632
0.3738 0.7477 0.5368
0.6262 0.2523 0.4632
0.6262 0.2523 0.0368

No. 6
Ca3PmTh2N6 | Alexandria | PBE | optimized geometry; space-group type = C2/m; theoretical density = 6.75 g cm⁻³; raw formation energy = -1256 meV/atom; size of the total moment = 0.63 Bohr magnetons per cell
1.0
3.6404 0.0000 0.0000
0.0000 7.1597 0.3214
-1.8202 -1.9959 7.5921
Pm N Ca Th
1 6 3 2
Direct
0.5000 0.0000 0.0000
0.6733 0.5671 0.3466
0.6646 0.0996 0.3292
0.3267 0.4329 0.6534
0.9942 0.7546 0.9883
0.3354 0.9004 0.6708
0.0058 0.2454 0.0117
0.1650 0.8324 0.3300
0.5000 0.5000 0.0000
0.8350 0.1676 0.6700
0.8348 0.6718 0.6697
0.1652 0.3282 0.3303

No. 7
CaPmTh2N4 | Alexandria | PBE | optimized geometry; space-group type = P2/m; theoretical density = 8.61 g cm⁻³; raw formation energy = -1469 meV/atom; size of the total moment = 0.00 Bohr magnetons per cell
1.0
3.6589 0.0000 0.0000
0.0000 6.3225 0.1182
0.0000 -2.2047 5.8369
Ca N Th Pm
1 4 2 1
Direct
0.5000 0.5000 0.0000
0.0000 0.7608 0.2714
0.0000 0.2392 0.7286
0.5000 0.2523 0.2630
0.5000 0.7477 0.7370
0.0000 0.5000 0.5000
0.5000 0.0000 0.5000
0.0000 0.0000 0.0000

No. 8
CaPm2TiN4 | Alexandria | PBE | optimized geometry; space-group type = Cmcm; theoretical density = 5.54 g cm⁻³; raw formation energy = -1293 meV/atom; size of the total moment = 0.00 Bohr magnetons per cell
1.0
3.5277 0.0000 0.0000
-1.7639 6.0262 0.0000
0.0000 0.0000 12.2433
Ti Pm N Ca
2 4 8 2
Direct
0.1649 0.3298 0.2500
0.8351 0.6702 0.7500
0.3702 0.7405 0.5375
0.3702 0.7405 0.9625
0.6298 0.2595 0.4625
0.6298 0.2595 0.0375
0.0000 0.0000 0.5000
0.0000 0.0000 0.0000
0.7399 0.4798 0.6277
0.5818 0.1635 0.2500
0.2601 0.5202 0.1277
0.2601 0.5202 0.3723
0.4182 0.8365 0.7500
0.7399 0.4798 0.8723
0.1103 0.2205 0.7500
0.8897 0.7795 0.2500

No. 9
CaPm2UN4 | Alexandria | PBE | optimized geometry; space-group type = P2/m; theoretical density = 8.33 g cm⁻³; raw formation energy = -1370 meV/atom; size of the total moment = 0.80 Bohr magnetons per cell
1.0
-0.3538 3.4967 0.5652
-3.1154 -1.1321 5.0542
5.9345 0.3743 1.3991
U N Ca Pm
1 4 1 2
Direct
0.0000 0.0000 0.0000
0.5000 0.7742 0.7744
0.0000 0.2186 0.7743
0.5000 0.2258 0.2256
0.0000 0.7814 0.2257
0.5000 0.5000 0.0000
0.5000 0.0000 0.5000
0.0000 0.5000 0.5000

No. 10
CaPm3U2N6 | Alexandria | PBE | optimized geometry; space-group type = C2/m; theoretical density = 9.26 g cm⁻³; raw formation energy = -1393 meV/atom; size of the total moment = 1.04 Bohr magnetons per cell
1.0
-0.3130 -1.0675 -3.3534
4.0508 -5.6194 1.4107
-6.9548 -1.9085 3.1179
N Ca U Pm
6 1 2 3
Direct
0.6736 0.5644 0.3471
0.6665 0.1122 0.3330
0.0203 0.2627 0.0405
0.3335 0.8878 0.6670
0.9797 0.7373 0.9595
0.3264 0.4356 0.6529
0.5000 0.0000 0.0000
0.8347 0.6705 0.6694
0.1653 0.3295 0.3306
0.8332 0.1647 0.6665
0.1668 0.8353 0.3335
0.5000 0.5000 0.0000

No. 11
Ca2PmUN4 | Alexandria | PBE | optimized geometry; space-group type = P2/m; theoretical density = 6.92 g cm⁻³; raw formation energy = -1329 meV/atom; size of the total moment = 0.94 Bohr magnetons per cell
1.0
3.5643 0.0000 0.0000
0.0000 6.1157 0.1146
0.0000 -2.1337 5.6742
N U Ca Pm
4 1 2 1
Direct
0.0000 0.7741 0.2155
0.5000 0.2231 0.2202
0.5000 0.7769 0.7798
0.0000 0.2259 0.7845
0.0000 0.0000 0.0000
0.0000 0.5000 0.5000
0.5000 0.0000 0.5000
0.5000 0.5000 0.0000

No. 12
Ca2Pm3UN6 | Alexandria | PBE | optimized geometry; space-group type = C2/m; theoretical density = 7.36 g cm⁻³; raw formation energy = -1377 meV/atom; size of the total moment = 0.12 Bohr magnetons per cell
1.0
6.1347 0.0055 0.0018
-3.0611 5.3164 0.0018
-1.0231 -1.7714 5.7859
Pm N Ca U
3 6 2 1
Direct
0.8325 0.1675 0.5000
0.1675 0.8325 0.5000
0.5000 0.5000 0.5000
0.0788 0.3751 0.2369
0.9212 0.6249 0.7631
0.6249 0.9212 0.7631
0.3751 0.0788 0.2369
0.2173 0.2173 0.7635
0.7827 0.7827 0.2365
0.6663 0.3337 0.0000
0.3337 0.6663 0.0000
0.0000 0.0000 0.0000